# PBE+U VGaTeO6, relaxed
# Raw total energy   -6.325 eV/atom
# V   198.8 Å³ per cell
# DOS(E_F)   0.0 states/eV per cell
data_VGaTeO6
_cell_length_a 5.0693
_cell_length_b 5.0693
_cell_length_c 8.9333
_cell_angle_alpha 90.00
_cell_angle_beta 90.00
_cell_angle_gamma 120.00
_space_group_name_H-M_alt 'P -3 1 c'
_space_group_IT_number 163
_space_group_name_Hall '-P 3 2c'
loop_
_atom_site_label
_atom_site_type_symbol
_atom_site_fract_x
_atom_site_fract_y
_atom_site_fract_z
_atom_site_occupancy
V1 V 0.0000 0.0000 0.0000 1
Ga1 Ga 0.3333 0.6667 0.2500 1
Te1 Te 0.3333 0.6667 0.7500 1
O1 O 0.0067 0.3465 0.6308 1